(1)
A plane-wave DFT calculation with PBE was carried out for a relaxed structure of PmY12Co6.

**Space-group type**: Im-3 (204)
**Formation enthalpy at 0 K**: -0.122 eV per atom

a b c (Å): 8.5118 8.5118 8.5118
angles (deg): 109.47 109.47 109.47
Positions (direct):
Y  0.8062  0.6910  0.4971
Y  0.1938  0.6910  0.8848
Y  0.6910  0.8848  0.1938
Y  0.6910  0.4971  0.8062
Y  0.4971  0.8062  0.6910
Y  0.8062  0.3090  0.1152
Y  0.1938  0.3090  0.5029
Y  0.3090  0.5029  0.1938
Y  0.1152  0.8062  0.3090
Y  0.3090  0.1152  0.8062
Y  0.5029  0.1938  0.3090
Y  0.8848  0.1938  0.6910
Co  0.1122  0.6122  0.5000
Co  0.6122  0.5000  0.1122
Co  0.3878  0.5000  0.8878
Co  0.5000  0.8878  0.3878
Co  0.5000  0.1122  0.6122
Co  0.8878  0.3878  0.5000
Pm  0.0000  0.0000  0.0000

---

(2)
A plane-wave DFT calculation with PBE was carried out for a relaxed structure of GaGeI.

**DFT total energy**: -0.2342 Ry/atom
**Space-group type**: Pm (6)

a b c (Å): 4.3578 4.2493 11.0280
angles (deg): 90.00 101.19 90.00
Positions (direct):
Ga  0.2459  0.0000  0.6373
Ga  0.8611  0.5000  0.8720
Ge  0.8024  0.0000  0.7522
Ge  0.4168  0.5000  0.9855
I  0.4985  0.0000  0.1528
I  0.1633  0.5000  0.4695

---

(3)
A plane-wave DFT calculation with PBE was carried out for a relaxed structure of Na3MgTl6.

**Space-group type**: C2/m (12)
**Formation enthalpy at 0 K**: -0.021 eV per atom

a b c (Å): 8.0793 6.5605 6.5605
angles (deg): 59.56 78.46 78.46
Positions (direct):
Tl  0.0822  0.6468  0.6468
Tl  0.6911  0.3998  0.9095
Tl  0.6911  0.9095  0.3998
Tl  0.9178  0.3532  0.3532
Tl  0.3089  0.0905  0.6002
Tl  0.3089  0.6002  0.0905
Na  0.0000  0.0000  0.0000
Na  0.3257  0.1074  0.1074
Na  0.6743  0.8926  0.8926
Mg  0.5000  0.5000  0.5000

---

(4)
A plane-wave DFT calculation with PBE was carried out for a relaxed structure of Ti6TlGa.

**Space-group type**: P4/mmm (123)
**Formation enthalpy at 0 K**: -0.141 eV per atom

a b c (Å): 4.0971 4.0971 8.2141
angles (deg): 90.00 90.00 90.00
Positions (direct):
Ga  0.0000  0.0000  0.5000
Tl  0.0000  0.0000  0.0000
Ti  0.0000  0.5000  0.7371
Ti  0.0000  0.5000  0.2629
Ti  0.5000  0.0000  0.2629
Ti  0.5000  0.5000  0.5000
Ti  0.5000  0.0000  0.7371
Ti  0.5000  0.5000  0.0000